The following is a DFT calculation (PBE-GGA) of a geometry-optimized CuPt2W structure.

Computed properties:
**SG**: I-42d (122)
**Calculated formation energy**: 0.406 eV per atom
**DFT total energy**: -6.877 eV per atom
**Energy relative to the lowest polymorph listed for this composition**: 674 meV/atom

Cell lengths 6.9734, 6.9734, 5.6243 Å; angles 51.69, 51.69, 90.00 degrees
Sites, in units of the cell vectors:
Cu: 0.5000 0.5000 0.0000
Cu: 0.2500 0.7500 0.5000
W: 0.7500 0.2500 0.5000
Pt: 0.6257 0.1250 0.2500
Pt: 0.8750 0.8757 0.7500
W: 0.0000 0.0000 0.0000
Pt: 0.1243 0.6250 0.2500
Pt: 0.3750 0.3743 0.7500

The following is a DFT calculation (PBE-GGA) of a geometry-optimized KSr3Li structure.

Computed properties:
**SG**: Pm-3m (221)
**Calculated formation energy**: 0.710 eV per atom
**DFT total energy**: -0.902 eV per atom
**Energy relative to the lowest polymorph listed for this composition**: 551 meV/atom

Cell lengths 7.0713, 7.0713, 7.0713 Å; angles 90.00, 90.00, 90.00 degrees
Sites, in units of the cell vectors:
Sr: 0.5000 0.0000 0.0000
Sr: 0.0000 0.5000 0.0000
Sr: 0.0000 0.0000 0.5000
K: 0.0000 0.0000 0.0000
Li: 0.5000 0.5000 0.5000

The following is a DFT calculation (PBE-GGA) of a geometry-optimized Tl3CuS6 structure.

Computed properties:
**SG**: R3m (160)
**Raw formation energy**: -0.09 eV/atom
**DFT total energy**: -3.683 eV per atom

Cell lengths 7.4572, 7.0831, 7.0831 Å; angles 108.38, 110.54, 110.54 degrees
Sites, in units of the cell vectors:
S: 0.8940 0.5762 0.0000
Tl: 0.2510 0.0000 0.4769
S: 0.3177 0.4238 0.4238
Tl: 0.7741 0.5231 0.5231
S: 0.3290 0.6763 0.6763
Cu: 0.6448 0.0000 0.0000
Tl: 0.2510 0.4769 0.0000
S: 0.6527 0.3237 0.0000
S: 0.6527 0.0000 0.3237
S: 0.8940 0.0000 0.5762

The following is a DFT calculation (PBE-GGA) of a geometry-optimized TaSi2Pt structure.

Computed properties:
**SG**: P4mm (99)
**Raw formation energy**: -0.42 eV/atom
**DFT total energy**: -7.608 eV per atom

Cell lengths 3.3546, 3.3536, 5.4253 Å; angles 90.00, 90.00, 90.00 degrees
Sites, in units of the cell vectors:
Si: 0.5000 0.5000 0.2585
Si: 0.0000 0.0000 0.9823
Pt: 0.5000 0.5000 0.7965
Ta: 0.0000 0.0000 0.4627

The following is a DFT calculation (PBE-GGA) of a geometry-optimized Er11Mg9Cd4 structure.

Computed properties:
**SG**: Cmmm (65)
**Calculated formation energy**: -0.127 eV per atom
**DFT total energy**: -2.969 eV per atom

Cell lengths 3.7972, 13.4081, 13.4081 Å; angles 112.14, 90.00, 90.00 degrees
Sites, in units of the cell vectors:
Mg: 0.5000 0.6268 0.1407
Mg: 0.5000 0.1407 0.6268
Mg: 0.5000 0.8593 0.3732
Mg: 0.5000 0.3732 0.8593
Mg: 0.5000 0.5000 0.5000
Er: 0.0000 0.7401 0.7401
Cd: 0.5000 0.2647 0.4492
Mg: 0.5000 0.2066 0.0455
Cd: 0.5000 0.5508 0.7353
Er: 0.0000 0.2599 0.2599
Er: 0.0000 0.9302 0.5880
Mg: 0.5000 0.9545 0.7934
Er: 0.0000 0.4120 0.0698
Er: 0.0000 0.1674 0.8326
Cd: 0.5000 0.4492 0.2647
Er: 0.0000 0.3485 0.6515
Er: 0.0000 0.0000 0.0000
Mg: 0.5000 0.7934 0.9545
Er: 0.0000 0.0698 0.4120
Er: 0.0000 0.6515 0.3485
Cd: 0.5000 0.7353 0.5508
Er: 0.0000 0.8326 0.1674
Mg: 0.5000 0.0455 0.2066
Er: 0.0000 0.5880 0.9302

The following is a DFT calculation (PBE-GGA) of a geometry-optimized La6Pr3Nd structure.

Computed properties:
**SG**: Cmc2_1 (36)
**Calculated formation energy**: 0.138 eV per atom
**DFT total energy**: -4.729 eV per atom
**Energy relative to the lowest polymorph listed for this composition**: 0 meV/atom

Cell lengths 6.4739, 10.9920, 10.9920 Å; angles 112.50, 90.00, 90.00 degrees
Sites, in units of the cell vectors:
La: 0.2160 0.7291 0.2709
La: 0.0473 0.7237 0.5820
Pr: 0.9440 0.7654 0.9191
La: 0.2856 0.5409 0.9788
La: 0.2856 0.0212 0.4591
Pr: 0.4440 0.2346 0.0809
Nd: 0.7316 0.7791 0.2209
La: 0.0473 0.4180 0.2763
Pr: 0.5619 0.5989 0.4011
La: 0.9221 0.0848 0.9152
La: 0.5473 0.2763 0.4180
La: 0.5473 0.5820 0.7237
Pr: 0.4440 0.9191 0.7654
Pr: 0.9440 0.0809 0.2346
Nd: 0.2316 0.2209 0.7791
La: 0.7856 0.4591 0.0212
Pr: 0.0619 0.4011 0.5989
La: 0.7160 0.2709 0.7291
La: 0.4221 0.9152 0.0848
La: 0.7856 0.9788 0.5409

The following is a DFT calculation (PBE-GGA) of a geometry-optimized Na2TmGaI6 structure.

Computed properties:
**SG**: R3 (146)
**Raw formation energy**: -1.11 eV/atom
**DFT total energy**: -3.051 eV per atom

Cell lengths 8.0125, 8.0122, 8.6201 Å; angles 62.30, 62.30, 59.99 degrees
Sites, in units of the cell vectors:
I: 0.9492 0.5741 0.2458
I: 0.7129 0.1131 0.7635
I: 0.1131 0.4107 0.7636
Na: 0.5173 0.5173 0.4479
Ga: 0.8190 0.8190 0.5430
Na: 0.0070 0.0070 0.9791
Tm: 0.3275 0.3275 0.0175
I: 0.4106 0.7128 0.7634
I: 0.2311 0.9492 0.2457
I: 0.5740 0.2310 0.2457

The following is a DFT calculation (PBE-GGA) of a geometry-optimized Ga2Ag2Pd structure.

Computed properties:
**SG**: I4/mmm (139)
**Calculated formation energy**: 0.045 eV per atom
**DFT total energy**: -3.345 eV per atom
**Energy relative to the lowest polymorph listed for this composition**: 155 meV/atom

Cell lengths 3.7401, 3.7401, 6.9972 Å; angles 74.50, 74.50, 90.00 degrees
Sites, in units of the cell vectors:
Ga: 0.5943 0.5943 0.8114
Ag: 0.7500 0.2500 0.5000
Ga: 0.4057 0.4057 0.1886
Pd: 0.0000 0.0000 0.0000
Ag: 0.2500 0.7500 0.5000

The following is a DFT calculation (PBE-GGA) of a geometry-optimized YZr2Si2 structure.

Computed properties:
**SG**: I4/mmm (139)
**Raw formation energy**: -0.23 eV/atom
**DFT total energy**: -7.107 eV per atom
**Energy relative to the lowest polymorph listed for this composition**: 521 meV/atom

Cell lengths 5.0580, 5.0580, 5.7990 Å; angles 64.14, 64.14, 90.00 degrees
Site moments in Bohr magnetons follow the coordinates.
Sites, in units of the cell vectors:
Si: 0.7500 0.2500 0.5000  -0.01
Si: 0.2500 0.7500 0.5000  -0.01
Y: 0.0000 0.0000 0.0000  0.11
Zr: 0.3306 0.3306 0.3388  0.12
Zr: 0.6694 0.6694 0.6612  0.12

The following is a DFT calculation (PBE-GGA) of a geometry-optimized Ho2Al9Zn structure.

Computed properties:
**SG**: P4/mmm (123)
**Calculated formation energy**: -0.236 eV per atom
**DFT total energy**: -3.912 eV per atom

Cell lengths 4.2134, 4.2134, 12.4087 Å; angles 90.00, 90.00, 90.00 degrees
Sites, in units of the cell vectors:
Al: 0.5000 0.5000 0.0000
Al: 0.0000 0.5000 0.5000
Al: 0.5000 0.5000 0.6697
Zn: 0.0000 0.0000 0.0000
Al: 0.5000 0.0000 0.5000
Ho: 0.0000 0.0000 0.6723
Al: 0.0000 0.5000 0.8503
Ho: 0.0000 0.0000 0.3277
Al: 0.5000 0.0000 0.8503
Al: 0.5000 0.5000 0.3303
Al: 0.0000 0.5000 0.1497
Al: 0.5000 0.0000 0.1497

The following is a DFT calculation (PBE-GGA) of a geometry-optimized WSeCl2 structure.

Computed properties:
**SG**: R-3m (166)
**Raw formation energy**: 0.06 eV/atom
**DFT total energy**: -4.972 eV per atom
**Energy relative to the lowest polymorph listed for this composition**: 510 meV/atom

Cell lengths 10.2762, 10.2762, 10.2762 Å; angles 17.07, 17.07, 17.07 degrees
Sites, in units of the cell vectors:
W: 0.7500 0.7500 0.7500
Cl: 0.4747 0.4747 0.4747
Cl: 0.0253 0.0253 0.0253
Se: 0.2500 0.2500 0.2500

The following is a DFT calculation (PBE-GGA) of a geometry-optimized SrCa2Al structure.

Computed properties:
**SG**: P4mm (99)
**Calculated formation energy**: -0.073 eV per atom
**DFT total energy**: -2.429 eV per atom

Cell lengths 3.9005, 3.9005, 9.5541 Å; angles 90.00, 90.00, 90.00 degrees
Sites, in units of the cell vectors:
Ca: 0.0000 0.0000 0.9421
Sr: 0.0000 0.0000 0.5569
Al: 0.5000 0.5000 0.7690
Ca: 0.5000 0.5000 0.2320

The following is a DFT calculation (PBE-GGA) of a geometry-optimized FeNiHg2 structure.

Computed properties:
**SG**: Imm2 (44)
**Calculated formation energy**: 0.370 eV per atom
**DFT total energy**: -3.342 eV per atom
**Energy relative to the lowest polymorph listed for this composition**: 118 meV/atom

Cell lengths 5.5835, 5.5835, 5.5835 Å; angles 149.26, 130.50, 59.40 degrees
Site moments in Bohr magnetons follow the coordinates.
Sites, in units of the cell vectors:
Fe: 0.7205 0.2205 0.5000  2.86
Ni: 0.5233 0.5233 0.0000  0.52
Hg: 0.9853 0.9853 0.0000  -0.01
Hg: 0.2710 0.7710 0.5000  -0.03

The following is a DFT calculation (PBE-GGA) of a geometry-optimized Ti3TcCl structure.

Computed properties:
**SG**: Pm-3m (221)
**Raw formation energy**: 0.56 eV/atom
**DFT total energy**: -6.619 eV per atom
**Energy relative to the lowest polymorph listed for this composition**: 345 meV/atom

Cell lengths 4.8103, 4.8103, 4.8103 Å; angles 90.00, 90.00, 90.00 degrees
Site moments in Bohr magnetons follow the coordinates.
Sites, in units of the cell vectors:
Cl: 0.5000 0.5000 0.5000  0.05
Ti: 0.0000 0.0000 0.5000  0.47
Ti: 0.0000 0.5000 0.0000  0.55
Ti: 0.5000 0.0000 0.0000  0.86
Tc: 0.0000 0.0000 0.0000  -0.21

The following is a DFT calculation (PBE-GGA) of a geometry-optimized ZnCu2Br structure.

Computed properties:
**SG**: I-4m2 (119)
**Raw formation energy**: 0.27 eV/atom
**DFT total energy**: -2.512 eV per atom
**Energy relative to the lowest polymorph listed for this composition**: 228 meV/atom

Cell lengths 6.4628, 6.4628, 6.4628 Å; angles 148.18, 148.18, 45.62 degrees
Sites, in units of the cell vectors:
Zn: 0.5000 0.5000 0.0000
Cu: 0.2500 0.7500 0.5000
Cu: 0.0000 0.0000 0.0000
Br: 0.7500 0.2500 0.5000

The following is a DFT calculation (PBE-GGA) of a geometry-optimized LiPmBiSe3 structure.

Computed properties:
**SG**: P2_1/m (11)
**Raw formation energy**: -1.05 eV/atom
**DFT total energy**: -4.554 eV per atom

Cell lengths 3.9061, 9.5596, 8.9667 Å; angles 98.19, 90.00, 90.00 degrees
Sites, in units of the cell vectors:
Bi: 0.2500 0.6657 0.1783
Li: 0.7500 0.9140 0.4108
Se: 0.7500 0.1920 0.4663
Se: 0.7500 0.3814 0.1308
Bi: 0.7500 0.3343 0.8217
Se: 0.7500 0.9224 0.1310
Pm: 0.7500 0.8369 0.7876
Li: 0.2500 0.0860 0.5892
Se: 0.2500 0.8080 0.5337
Se: 0.2500 0.0776 0.8690
Pm: 0.2500 0.1631 0.2124
Se: 0.2500 0.6186 0.8692

The following is a DFT calculation (PBE-GGA) of a geometry-optimized LiSmLuPb structure.

Computed properties:
**SG**: F-43m (216)
**Calculated formation energy**: -0.242 eV per atom
**DFT total energy**: -3.958 eV per atom

Cell lengths 5.2944, 5.2944, 5.2944 Å; angles 60.00, 60.00, 60.00 degrees
Sites, in units of the cell vectors:
Pb: 0.5000 0.5000 0.5000
Sm: 0.2500 0.2500 0.2500
Lu: 0.7500 0.7500 0.7500
Li: 0.0000 0.0000 0.0000

The following is a DFT calculation (PBE-GGA) of a geometry-optimized La5Pr2Tm3 structure.

Computed properties:
**SG**: C2/c (15)
**Calculated formation energy**: 0.160 eV per atom
**DFT total energy**: -4.602 eV per atom

Cell lengths 10.1837, 10.1912, 11.3662 Å; angles 129.24, 129.23, 65.71 degrees
Sites, in units of the cell vectors:
Pr: 0.5266 0.2746 0.2412
Tm: 0.7247 0.4651 0.2466
La: 0.0220 0.7720 0.5440
La: 0.6207 0.8665 0.2402
Pr: 0.2146 0.9666 0.2412
La: 0.5185 0.2685 0.5370
Tm: 0.2753 0.5349 0.7534
La: 0.2746 0.5246 0.0493
La: 0.8804 0.6262 0.7598
Tm: 0.7706 0.0206 0.0411
Tm: 0.9782 0.2185 0.7534
Tm: 0.0218 0.7815 0.2466
La: 0.4815 0.7315 0.4630
Tm: 0.2294 0.9794 0.9589
Pr: 0.7854 0.0334 0.7588
La: 0.9780 0.2280 0.4560
La: 0.7254 0.4754 0.9507
La: 0.3793 0.1335 0.7598
Pr: 0.4734 0.7254 0.7588
La: 0.1196 0.3738 0.2402

The following is a DFT calculation (PBE-GGA) of a geometry-optimized CeSbF structure.

Computed properties:
**SG**: I4mm (107)
**Raw formation energy**: -1.85 eV/atom
**DFT total energy**: -5.826 eV per atom
**Energy relative to the lowest polymorph listed for this composition**: 261 meV/atom

Cell lengths 3.3987, 3.3987, 6.3517 Å; angles 105.52, 105.52, 90.00 degrees
Site moments in Bohr magnetons follow the coordinates.
Sites, in units of the cell vectors:
Sb: 0.0063 0.0063 0.0125  -0.02
F: 0.2802 0.2802 0.5604  -0.01
Ce: 0.7135 0.7135 0.4271  1.08

The following is a DFT calculation (PBE-GGA) of a geometry-optimized NdThCd17 structure.

Computed properties:
**SG**: R3m (160)
**Calculated formation energy**: -0.114 eV per atom
**DFT total energy**: -1.574 eV per atom

Cell lengths 7.6747, 7.6747, 7.6747 Å; angles 82.36, 82.36, 82.36 degrees
Sites, in units of the cell vectors:
Cd: 0.8676 0.3468 0.3468
Cd: 0.6975 0.0006 0.3002
Cd: 0.9825 0.9825 0.5197
Cd: 0.9049 0.9049 0.9049
Cd: 0.9825 0.5197 0.9825
Nd: 0.6657 0.6657 0.6657
Cd: 0.0006 0.6975 0.3002
Cd: 0.3002 0.0006 0.6975
Cd: 0.5197 0.9825 0.9825
Cd: 0.3002 0.6975 0.0006
Cd: 0.6286 0.1965 0.6286
Cd: 0.0006 0.3002 0.6975
Th: 0.3298 0.3298 0.3298
Cd: 0.3468 0.3468 0.8676
Cd: 0.3468 0.8676 0.3468
Cd: 0.1032 0.1032 0.1032
Cd: 0.1965 0.6286 0.6286
Cd: 0.6975 0.3002 0.0006
Cd: 0.6286 0.6286 0.1965